1.
Computed, not measured: a relaxed structure of SrTeBr2 at the PBE level of DFT.

Lattice parameters (Å, degrees): 10.8413 10.8413 10.8413 25.11 25.11 25.11
Fractional coordinates of all 4 atoms:
Sr (0.0000, 0.0000, 0.0000)
Te (0.5000, 0.5000, 0.5000)
Br (0.9105, 0.9105, 0.9105)
Br (0.0895, 0.0895, 0.0895)

Results
calculated total energy	-2.320	eV/atom
calculated volume	50.5	Å³/atom
ΔE to the lowest computed polymorph	985	meV/atom
total magnetization	2.4	μB per formula unit
ΔE_f (raw)	-0.277	eV per atom
calculated density	3.08	g cm⁻³
symmetry	R-3m, No. 166

---

2.
Computed, not measured: a relaxed structure of TlC2Cl at the PBE level of DFT.

Lattice parameters (Å, degrees): 4.9688 4.9688 6.8058 68.59 68.59 90.00
Fractional coordinates of all 8 atoms:
Tl (0.0000, 0.0000, 0.0000)
Tl (0.7500, 0.2500, 0.5000)
C (0.5996, 0.1250, 0.2500)
C (0.1504, 0.6250, 0.2500)
C (0.3750, 0.4004, 0.7500)
C (0.8750, 0.8496, 0.7500)
Cl (0.5000, 0.5000, 0.0000)
Cl (0.2500, 0.7500, 0.5000)

Results
calculated total energy	-3.201	eV/atom
calculated volume	18.0	Å³/atom
ΔE to the lowest computed polymorph	0	meV/atom
total magnetization	1.0	μB per formula unit
ΔE_f (raw)	2.464	eV per atom
calculated density	6.09	g cm⁻³
symmetry	I-42d, No. 122

---

3.
Computed, not measured: a relaxed structure of CuPtSe at the PBE level of DFT.

Lattice parameters (Å, degrees): 4.7067 4.7067 4.7067 137.64 137.69 61.41
Fractional coordinates of all 3 atoms:
Cu (0.0019, 0.0019, 0.0000)
Pt (0.3421, 0.3421, 0.0000)
Se (0.6560, 0.6560, 0.0000)

Results
calculated total energy	-4.445	eV/atom
calculated volume	15.6	Å³/atom
ΔE to the lowest computed polymorph	110	meV/atom
total magnetization	0.0	μB per formula unit
ΔE_f (raw)	0.096	eV per atom
calculated density	11.99	g cm⁻³
symmetry	I4mm, No. 107

---

4.
Computed, not measured: a relaxed structure of BaHg2Ru at the PBE level of DFT.

Lattice parameters (Å, degrees): 5.3228 5.3228 5.3228 60.00 60.00 60.00
Fractional coordinates of all 4 atoms:
Ru (0.0000, 0.0000, 0.0000)
Hg (0.2500, 0.2500, 0.2500)
Hg (0.7500, 0.7500, 0.7500)
Ba (0.5000, 0.5000, 0.5000)

Results
calculated total energy	-2.583	eV/atom
calculated volume	26.7	Å³/atom
total magnetization	1.5	μB per formula unit
calculated density	9.96	g cm⁻³
calculated formation energy	0.37	eV per atom
symmetry	Fm-3m, No. 225

---

5.
Computed, not measured: a relaxed structure of ReWN3 at the PBE level of DFT.

Lattice parameters (Å, degrees): 3.8906 3.8906 3.8906 90.00 90.00 90.00
Fractional coordinates of all 5 atoms:
Re (0.5000, 0.5000, 0.5000)
W (0.0000, 0.0000, 0.0000)
N (0.0000, 0.5000, 0.0000)
N (0.0000, 0.0000, 0.5000)
N (0.5000, 0.0000, 0.0000)

Results
calculated total energy	-8.746	eV/atom
calculated volume	11.8	Å³/atom
total magnetization	0.0	μB per formula unit
ΔE_f (raw)	1.330	eV per atom
calculated density	11.62	g cm⁻³
symmetry	Pm-3m, No. 221

---

6.
Computed, not measured: a relaxed structure of Ni2SbRh at the PBE level of DFT.

Lattice parameters (Å, degrees): 4.5675 9.1694 3.9024 64.80 115.26 74.30
Fractional coordinates of all 8 atoms:
Ni (0.0000, 0.5000, 0.5000)
Ni (0.0000, 0.0000, 0.5000)
Ni (0.2681, 0.6170, 0.0170)
Ni (0.7319, 0.3830, 0.9830)
Sb (0.5155, 0.7424, 0.5154)
Sb (0.4845, 0.2576, 0.4846)
Rh (0.2307, 0.1329, 0.9825)
Rh (0.7693, 0.8671, 0.0175)

Results
calculated total energy	-5.948	eV/atom
calculated volume	13.9	Å³/atom
total magnetization	0.0	μB per formula unit
ΔE_f (raw)	-0.189	eV per atom
calculated density	10.19	g cm⁻³
symmetry	C2/m, No. 12